The following is a GGA-PBE calculation of an optimized crystal structure of Na2TiPbBr8, from Alexandria via LeMat-Bulk.

Lattice parameters (Å, degrees): 6.624 8.630 7.019 90.00 92.89 90.00
Atoms (fractional coordinates):
Na 0.000 0.248 0.000
Na 0.000 0.752 0.000
Ti 0.500 0.000 0.500
Pb 0.500 0.500 0.500
Br 0.234 0.500 0.155
Br 0.271 0.000 0.199
Br 0.282 0.208 0.643
Br 0.282 0.792 0.643
Br 0.718 0.208 0.357
Br 0.718 0.792 0.357
Br 0.729 0.000 0.801
Br 0.766 0.500 0.845

Results
VASP energy = -3.478 eV/atom
Volume = 401 Å³/cell
Total magnetization = 0.000 Bohr magnetons per cell
ΔE_f (raw) = -1176 meV/atom
SG = P2/m, No. 10